Pm3Zr4: relaxed, PBE.

abc: 9.0654 9.0653 5.3785
angles: 90.00 90.00 60.00
Last column: nearest neighbours and their distance in Å.
Fractional coordinates of all 14 atoms:
Zr: 0.1428 0.2857 0.0000  9 Zr 3.24-3.51, 3 Pm 3.24
Zr: 0.5861 0.1136 0.0000  7 Zr 3.14-3.51, 3 Pm 3.19-3.37
Pm: 0.5382 0.3578 0.5000  5 Zr 3.19-3.57, 4 Pm 3.44
Zr: 0.8095 0.9524 0.5000  9 Zr 3.24-3.51, 3 Pm 3.24
Pm: 0.6754 0.6810 0.5000  5 Zr 3.19-3.57, 4 Pm 3.44
Pm: 0.2770 0.5570 0.0000  5 Zr 3.19-3.57, 4 Pm 3.44
Zr: 0.9707 0.0146 0.0000  7 Zr 3.14-3.51, 3 Pm 3.19-3.37
Pm: 0.4142 0.8803 0.0000  5 Zr 3.19-3.57, 4 Pm 3.44
Pm: 0.2149 0.8183 0.5000  5 Zr 3.19-3.57, 4 Pm 3.44
Zr: 0.9816 0.2234 0.5000  7 Zr 3.14-3.51, 3 Pm 3.19-3.37
Zr: 0.0806 0.5092 0.5000  7 Zr 3.14-3.51, 3 Pm 3.19-3.37
Pm: 0.7374 0.4198 0.0000  5 Zr 3.19-3.57, 4 Pm 3.44
Zr: 0.8718 0.7289 0.0000  7 Zr 3.14-3.51, 3 Pm 3.19-3.37
Zr: 0.3663 0.1245 0.5000  7 Zr 3.14-3.51, 3 Pm 3.19-3.37

Its theoretical density is 6.940 Mg/m³. The total energy comes out at -6.81 eV/atom. The value obtained for the formation energy is 0.8 eV per formula unit. As for the distance to the lowest polymorph of the same formula: 0 meV per atom.